VASP calculation (PBE-GGA) on a relaxed structure of HoEr3H.

Cell lengths 4.935, 4.935, 4.935 Å; angles 90.00, 90.00, 90.00 degrees
Element x y z (fractional)
Ho (0.000, 0.000, 0.000)
Er (0.000, 0.500, 0.500)
Er (0.500, 0.000, 0.500)
Er (0.500, 0.500, 0.000)
H (0.500, 0.500, 0.500)

DFT total energy = -4.481 eV per atom